DFT (PBE) results for a relaxed structure of CsGa4Ge4.

Calculated values
Crystal system: monoclinic
ρ: 4.910 Mg/m³
Formation energy: 36 meV per atom
Density of states at the Fermi level: 2.44 states/eV/cell
ΔE to the lowest computed polymorph: 2.7 meV per atom
Total energy: -3.4561 eV/atom

abc: 4.6381 9.4669 6.0445
angles: 86.07 67.44 75.82
Element x y z (fractional)
Ge 0.8117 0.7269 0.6496
Ge 0.3136 0.5827 0.7901
Ga 0.4657 0.7304 0.3381
Ga 0.0911 0.5702 0.2475
Ga 0.5343 0.2696 0.6619
Cs 0.0000 0.0000 0.0000
Ge 0.1883 0.2731 0.3504
Ge 0.6864 0.4173 0.2099
Ga 0.9089 0.4298 0.7525